Record 1
# PBE TaIn2Te, optimized geometry
data_TaIn2Te
_chemical_formula_sum 'Ta1 In2 Te1'
_cell_length_a 3.114
_cell_length_b 3.114
_cell_length_c 9.920
_cell_angle_alpha 90.00
_cell_angle_beta 90.00
_cell_angle_gamma 90.00
_space_group_name_H-M_alt 'P 4/m m m'
_space_group_IT_number 123
_space_group_name_Hall '-P 4 2'
loop_
_atom_site_label
_atom_site_type_symbol
_atom_site_fract_x
_atom_site_fract_y
_atom_site_fract_z
Ta1 Ta 0.000 0.000 0.000
In1 In 0.500 0.500 0.208
Te1 Te 0.000 0.000 0.500
# * E_form (uncorrected): 308 meV per atom
# * electronic total energy: -4.8097 eV per atom

=====

Record 2
# PBE Li2Pm2Al, optimized geometry
data_Li2Pm2Al
_chemical_formula_sum 'Li4 Pm4 Al2'
_cell_length_a 3.426
_cell_length_b 23.721
_cell_length_c 3.374
_cell_angle_alpha 90.00
_cell_angle_beta 90.00
_cell_angle_gamma 90.00
_space_group_name_H-M_alt 'C m m m'
_space_group_IT_number 65
_space_group_name_Hall '-C 2 2'
loop_
_atom_site_label
_atom_site_type_symbol
_atom_site_fract_x
_atom_site_fract_y
_atom_site_fract_z
Li1 Li 0.000 0.198 0.000
Pm1 Pm 0.000 0.413 0.500
Al1 Al 0.000 0.000 0.000
# * electronic total energy: -3.4607 eV per atom

=====

Record 3
# PBE Cs3SnI5, optimized geometry
data_Cs3SnI5
_chemical_formula_sum 'Cs12 Sn4 I20'
_cell_length_a 10.365
_cell_length_b 10.365
_cell_length_c 18.414
_cell_angle_alpha 90.00
_cell_angle_beta 90.00
_cell_angle_gamma 90.00
_space_group_name_H-M_alt 'I 4/m c m'
_space_group_IT_number 140
_space_group_name_Hall '-I 4 2c'
loop_
_atom_site_label
_atom_site_type_symbol
_atom_site_fract_x
_atom_site_fract_y
_atom_site_fract_z
Cs1 Cs 0.000 0.000 0.250
Cs2 Cs 0.154 0.346 0.000
Sn1 Sn 0.000 0.500 0.250
I1 I 0.000 0.000 0.000
I2 I 0.161 0.339 0.355
# * E_form (uncorrected): -1156 meV per atom
# * electronic total energy: -2.7469 eV per atom

=====

Record 4
# PBE NiBN3, optimized geometry
data_NiBN3
_chemical_formula_sum 'Ni1 B1 N3'
_cell_length_a 3.627
_cell_length_b 3.627
_cell_length_c 3.627
_cell_angle_alpha 90.00
_cell_angle_beta 90.00
_cell_angle_gamma 90.00
_space_group_name_H-M_alt 'P m -3 m'
_space_group_IT_number 221
_space_group_name_Hall '-P 4 2 3'
loop_
_atom_site_label
_atom_site_type_symbol
_atom_site_fract_x
_atom_site_fract_y
_atom_site_fract_z
Ni1 Ni 0.000 0.000 0.000
B1 B 0.500 0.500 0.500
N1 N 0.000 0.000 0.500
# * E_form (uncorrected): 2645 meV per atom
# * electronic total energy: -4.8425 eV per atom

=====

Record 5
# PBE Nd5Sm2Ho4, optimized geometry
data_Nd5Sm2Ho4
_chemical_formula_sum 'Nd10 Sm4 Ho8'
_cell_length_a 3.542
_cell_length_b 9.189
_cell_length_c 23.588
_cell_angle_alpha 90.00
_cell_angle_beta 90.00
_cell_angle_gamma 90.00
_space_group_name_H-M_alt 'I m m m'
_space_group_IT_number 71
_space_group_name_Hall '-I 2 2'
loop_
_atom_site_label
_atom_site_type_symbol
_atom_site_fract_x
_atom_site_fract_y
_atom_site_fract_z
Nd1 Nd 0.000 0.000 0.000
Nd2 Nd 0.000 0.300 0.355
Sm1 Sm 0.000 0.500 0.231
Ho1 Ho 0.000 0.186 0.500
Ho2 Ho 0.000 0.500 0.096
# * electronic total energy: -4.5071 eV per atom

=====

Record 6
# PBE Pm3Ho, optimized geometry
data_Pm3Ho
_chemical_formula_sum 'Pm3 Ho1'
_cell_length_a 3.668
_cell_length_b 5.826
_cell_length_c 6.340
_cell_angle_alpha 90.00
_cell_angle_beta 90.00
_cell_angle_gamma 90.00
_space_group_name_H-M_alt 'P m m 2'
_space_group_IT_number 25
loop_
_space_group_symop_operation_xyz
'x,y,z'
'-x,-y,z'
'-x,y,z'
'x,-y,z'
loop_
_atom_site_label
_atom_site_type_symbol
_atom_site_fract_x
_atom_site_fract_y
_atom_site_fract_z
Pm1 Pm 0.000 0.000 0.000
Pm2 Pm 0.000 0.500 0.334
Pm3 Pm 0.500 0.500 0.834
Ho1 Ho 0.500 0.000 0.501
# * electronic total energy: -4.6772 eV per atom

=====

Record 7
# PBE AcLa6Dy5, optimized geometry
data_AcLa6Dy5
_chemical_formula_sum 'Ac1 La6 Dy5'
_cell_length_a 5.252
_cell_length_b 10.241
_cell_length_c 8.282
_cell_angle_alpha 90.00
_cell_angle_beta 108.41
_cell_angle_gamma 90.00
_space_group_name_H-M_alt 'P 1 2/m 1'
_space_group_IT_number 10
loop_
_space_group_symop_operation_xyz
'x,y,z'
'-x,-y,-z'
'-x,y,-z'
'x,-y,z'
loop_
_atom_site_label
_atom_site_type_symbol
_atom_site_fract_x
_atom_site_fract_y
_atom_site_fract_z
Ac1 Ac 0.000 0.000 0.000
La1 La 0.168 0.254 0.336
La2 La 0.500 0.258 0.000
Dy1 Dy 0.000 0.500 0.000
Dy2 Dy 0.330 0.000 0.659
Dy3 Dy 0.333 0.500 0.667
# * electronic total energy: -4.6951 eV per atom

=====

Record 8
# PBE Ga2SbO, optimized geometry
data_Ga2SbO
_chemical_formula_sum 'Ga8 Sb4 O4'
_cell_length_a 6.582
_cell_length_b 6.582
_cell_length_c 6.582
_cell_angle_alpha 90.00
_cell_angle_beta 90.00
_cell_angle_gamma 90.00
_space_group_name_H-M_alt 'F m -3 m'
_space_group_IT_number 225
_space_group_name_Hall '-F 4 2 3'
loop_
_atom_site_label
_atom_site_type_symbol
_atom_site_fract_x
_atom_site_fract_y
_atom_site_fract_z
Ga1 Ga 0.250 0.250 0.250
Sb1 Sb 0.000 0.000 0.000
O1 O 0.000 0.000 0.500
# * E_form (uncorrected): 100 meV per atom
# * electronic total energy: -3.6839 eV per atom